Below is a geometry-optimized BP2H2 structure, with properties calculated at the PBE-GGA level.

Computed properties:
V ... 43 Å³/cell
Magnetization ... 0.000 μB per atom
Energy above the most stable polymorph in this dataset ... 0.0043 eV/atom

Geometry as POSCAR:
```
BP2H2
1.0
-1.318 0.287 3.581
-3.592 -0.104 -1.314
-2.456 -2.819 1.366
P B H
2 1 2
Direct
0.750 0.250 0.500
0.250 0.750 0.500
0.000 0.000 0.000
0.430 0.430 0.139
0.570 0.570 0.861
```